1.
! Tb5Dy2Tl4 PBE-GGA relaxed; values from VASP
&SYSTEM
  ibrav = 0, nat = 11, ntyp = 3
/
ATOMIC_SPECIES
Tb 158.93 Tb.upf
Dy 162.50 Dy.upf
Tl 204.38 Tl.upf
CELL_PARAMETERS angstrom
-1.7375 4.3299 14.3910
1.7375 -4.3299 14.3910
1.7375 4.3299 -14.3910
ATOMIC_POSITIONS angstrom
Tb 0.0000 0.0000 0.0000
Tb 1.7375 -1.7159 5.7831
Tb 1.7375 1.7159 5.7831
Tb 0.0000 2.6139 8.6079
Tb 0.0000 6.0458 8.6079
Dy 1.7375 0.0000 2.7856
Dy 0.0000 4.3299 11.6054
Tl 1.7375 0.0000 8.7028
Tl 1.7375 2.7675 0.0000
Tl 0.0000 1.5623 14.3910
Tl 0.0000 4.3299 5.6882
! Electronic total energy, eV per atom: -3.47
! M_tot, μB per atom: 0.000
! Calculated volume, Å³/f.u.: 433
! Space group: Immm, No. 71
! Fermi-level density of states, states/eV/f.u.: 14.6
! Energy of formation from the pure elements, eV/atom: 0.336

***

2.
! InBi2Pb2 PBE-GGA relaxed; values from VASP
&SYSTEM
  ibrav = 0, nat = 10, ntyp = 3
/
ATOMIC_SPECIES
In 114.82 In.upf
Bi 208.98 Bi.upf
Pb 207.20 Pb.upf
CELL_PARAMETERS angstrom
4.7382 0.0000 0.0000
0.0000 4.7382 0.0000
0.0000 0.0000 15.8000
ATOMIC_POSITIONS angstrom
In 0.0000 0.0000 0.0000
In 2.3691 2.3691 7.9000
Bi 0.0000 2.3691 3.9500
Bi 0.0000 2.3691 11.8500
Bi 2.3691 0.0000 3.9500
Bi 2.3691 0.0000 11.8500
Pb 0.0000 0.0000 6.2940
Pb 0.0000 0.0000 9.5060
Pb 2.3691 2.3691 1.6060
Pb 2.3691 2.3691 14.1940
! Electronic total energy, eV per atom: -3.42
! Energy relative to the lowest polymorph listed for this composition, meV/atom: 133
! M_tot, μB per atom: 0.000
! Calculated volume, Å³/f.u.: 177
! Space group: I4/mmm, No. 139
! Fermi-level density of states, states/eV/f.u.: 3.6
! Energy of formation from the pure elements, eV/atom: 0.164

***

3.
! MgRh PBE-GGA relaxed; values from VASP
&SYSTEM
  ibrav = 0, nat = 4, ntyp = 2
/
ATOMIC_SPECIES
Mg 24.30 Mg.upf
Rh 102.91 Rh.upf
CELL_PARAMETERS angstrom
2.8943 0.0000 0.0000
-1.4471 2.5065 0.0000
0.0000 0.0000 9.0965
ATOMIC_POSITIONS angstrom
Mg 0.0000 1.6710 1.3759
Mg 1.4471 0.8355 7.7206
Rh 0.0000 1.6710 5.6092
Rh 1.4471 0.8355 3.4873
! Electronic total energy, eV per atom: -4.56
! M_tot, μB per atom: 0.000
! Calculated volume, Å³/f.u.: 33
! Space group: P-3m1, No. 164
! Fermi-level density of states, states/eV/f.u.: 1.6
! Energy of formation from the pure elements, eV/atom: -0.086

***

4.
! SiGeN PBE-GGA relaxed; values from VASP
&SYSTEM
  ibrav = 0, nat = 12, ntyp = 3
/
ATOMIC_SPECIES
Si 28.09 Si.upf
Ge 72.64 Ge.upf
N 14.01 N.upf
CELL_PARAMETERS angstrom
9.1183 0.0000 0.0000
0.0000 2.9034 0.0000
-0.1736 0.0000 7.4178
ATOMIC_POSITIONS angstrom
Si 0.0000 0.0000 0.0000
Si 2.0888 0.0000 1.2870
Si 4.5591 1.4517 0.0000
Si 6.6480 1.4517 1.2870
Ge 0.0122 0.0000 4.9423
Ge 2.1341 1.4517 4.1504
Ge 4.5713 1.4517 4.9423
Ge 6.6932 0.0000 4.1504
N 2.0252 1.4517 2.2400
N 3.6271 0.0000 0.4072
N 6.5843 0.0000 2.2400
N 8.1862 1.4517 0.4072
! Uncorrected formation energy, eV per atom: -0.267
! Electronic total energy, eV per atom: -6.39
! Energy relative to the lowest polymorph listed for this composition, meV/atom: 186
! M_tot, μB per atom: 0.000
! Calculated volume, Å³/f.u.: 49
! Space group: Cm, No. 8
! Fermi-level density of states, states/eV/f.u.: 1.1

***

5.
! KYAs2 PBE-GGA relaxed; values from VASP
&SYSTEM
  ibrav = 0, nat = 4, ntyp = 3
/
ATOMIC_SPECIES
K 39.10 K.upf
Y 88.91 Y.upf
As 74.92 As.upf
CELL_PARAMETERS angstrom
3.6967 0.0000 0.0000
0.0000 3.6967 0.0000
0.0000 0.0000 8.8081
ATOMIC_POSITIONS angstrom
K 0.0000 0.0000 0.0000
Y 1.8483 1.8483 3.5934
As 0.0000 0.0000 5.3381
As 1.8483 1.8483 6.3250
! Electronic total energy, eV per atom: -4.43
! Energy relative to the lowest polymorph listed for this composition, meV/atom: 603
! M_tot, μB per atom: 0.000
! Calculated volume, Å³/f.u.: 120
! Space group: P4mm, No. 99
! Fermi-level density of states, states/eV/f.u.: 2.3
! Energy of formation from the pure elements, eV/atom: -0.210

***

6.
! SrLuCdSn PBE-GGA relaxed; values from VASP
&SYSTEM
  ibrav = 0, nat = 16, ntyp = 4
/
ATOMIC_SPECIES
Sr 87.62 Sr.upf
Lu 174.97 Lu.upf
Cd 112.41 Cd.upf
Sn 118.71 Sn.upf
CELL_PARAMETERS angstrom
7.6957 0.0000 0.0000
0.0000 7.6957 0.0000
0.0000 0.0000 7.6957
ATOMIC_POSITIONS angstrom
Sr 0.0000 0.0000 0.0000
Sr 0.0000 3.8479 3.8479
Sr 3.8479 0.0000 3.8479
Sr 3.8479 3.8479 0.0000
Lu 0.0000 0.0000 3.8479
Lu 0.0000 3.8479 0.0000
Lu 3.8479 0.0000 0.0000
Lu 3.8479 3.8479 3.8479
Cd 1.9239 1.9239 5.7718
Cd 1.9239 5.7718 1.9239
Cd 5.7718 1.9239 1.9239
Cd 5.7718 5.7718 5.7718
Sn 1.9239 1.9239 1.9239
Sn 1.9239 5.7718 5.7718
Sn 5.7718 1.9239 5.7718
Sn 5.7718 5.7718 1.9239
! Electronic total energy, eV per atom: -3.17
! M_tot, μB per atom: 0.000
! Calculated volume, Å³/f.u.: 114
! Space group: F-43m, No. 216
! Fermi-level density of states, states/eV/f.u.: 2.9
! Energy of formation from the pure elements, eV/atom: -0.392